Compound: LuCuReB
Source: the Open Quantum Materials Database
Functional: PBE-GGA
Structure: optimized geometry

```
LuCuReB
1.0
0.000 3.054 3.054
3.054 0.000 3.054
3.054 3.054 0.000
Lu Cu Re B
1 1 1 1
Cartesian
0.000 0.000 0.000
4.581 4.581 4.581
1.527 1.527 1.527
3.054 3.054 3.054
```

energy relative to the lowest polymorph listed for this composition = 0 kJ/mol of formula units
calculated density = 12.7 g/cm3
SG = F-43m
E_tot = -24.0 eV per cell

---

Compound: LuScCuB
Source: the Open Quantum Materials Database
Functional: PBE-GGA
Structure: optimized geometry

```
LuScCuB
1.0
0.000 3.166 3.166
3.166 0.000 3.166
3.166 3.166 0.000
Lu Sc Cu B
1 1 1 1
Cartesian
0.000 0.000 0.000
1.583 1.583 1.583
4.750 4.750 4.750
3.166 3.166 3.166
```

calculated density = 7.7 g/cm3
SG = F-43m
E_tot = -18.7 eV per cell

---

Compound: LuTaCuB
Source: the Open Quantum Materials Database
Functional: PBE-GGA
Structure: optimized geometry

```
LuTaCuB
1.0
0.000 3.133 3.133
3.133 0.000 3.133
3.133 3.133 0.000
Lu Ta Cu B
1 1 1 1
Cartesian
0.000 0.000 0.000
1.567 1.567 1.567
4.700 4.700 4.700
3.133 3.133 3.133
```

energy relative to the lowest polymorph listed for this composition = 0 kJ/mol of formula units
calculated density = 11.6 g/cm3
SG = F-43m
E_tot = -22.7 eV per cell

---

Compound: LuCuTcB
Source: the Open Quantum Materials Database
Functional: PBE-GGA
Structure: optimized geometry

```
LuCuTcB
1.0
0.000 3.092 3.092
3.092 0.000 3.092
3.092 3.092 0.000
Lu Cu Tc B
1 1 1 1
Cartesian
0.000 0.000 0.000
3.092 3.092 3.092
4.638 4.638 4.638
1.546 1.546 1.546
```

energy relative to the lowest polymorph listed for this composition = 82 kJ/mol of formula units
calculated density = 9.8 g/cm3
SG = F-43m
E_tot = -22.1 eV per cell

---

Compound: LuCuTcB
Source: the Open Quantum Materials Database
Functional: PBE-GGA
Structure: optimized geometry

```
LuCuTcB
1.0
0.000 3.040 3.040
3.040 0.000 3.040
3.040 3.040 0.000
Lu Cu Tc B
1 1 1 1
Cartesian
0.000 0.000 0.000
4.560 4.560 4.560
1.520 1.520 1.520
3.040 3.040 3.040
```

energy relative to the lowest polymorph listed for this composition = 0 kJ/mol of formula units
calculated density = 10.3 g/cm3
SG = F-43m
E_tot = -22.9 eV per cell

---

Compound: YLuCuB
Source: the Open Quantum Materials Database
Functional: PBE-GGA
Structure: optimized geometry

```
YLuCuB
1.0
0.000 3.284 3.284
3.284 0.000 3.284
3.284 3.284 0.000
Y Lu Cu B
1 1 1 1
Cartesian
0.000 0.000 0.000
4.926 4.926 4.926
3.284 3.284 3.284
1.642 1.642 1.642
```

energy relative to the lowest polymorph listed for this composition = 0 kJ/mol of formula units
calculated density = 7.9 g/cm3
SG = F-43m
E_tot = -18.4 eV per cell

---

Compound: YLuCuB
Source: the Open Quantum Materials Database
Functional: PBE-GGA
Structure: optimized geometry

```
YLuCuB
1.0
0.000 3.297 3.297
3.297 0.000 3.297
3.297 3.297 0.000
Y Lu Cu B
1 1 1 1
Cartesian
0.000 0.000 0.000
1.648 1.648 1.648
4.945 4.945 4.945
3.297 3.297 3.297
```

energy relative to the lowest polymorph listed for this composition = 12 kJ/mol of formula units
calculated density = 7.8 g/cm3
SG = F-43m
E_tot = -18.3 eV per cell

---

Compound: LuZrCuB
Source: the Open Quantum Materials Database
Functional: PBE-GGA
Structure: optimized geometry

```
LuZrCuB
1.0
0.000 3.197 3.197
3.197 0.000 3.197
3.197 3.197 0.000
Lu Zr Cu B
1 1 1 1
Cartesian
0.000 0.000 0.000
1.598 1.598 1.598
4.795 4.795 4.795
3.197 3.197 3.197
```

energy relative to the lowest polymorph listed for this composition = 0 kJ/mol of formula units
calculated density = 8.7 g/cm3
SG = F-43m
E_tot = -20.3 eV per cell

---

Compound: MgCu2B
Source: the Open Quantum Materials Database
Functional: PBE-GGA
Structure: optimized geometry

```
MgCu2B
1.0
5.747 0.000 0.000
0.000 5.747 0.000
0.000 0.000 5.747
Mg Cu B
4 8 4
Cartesian
0.000 0.000 0.000
0.000 0.000 2.874
0.000 2.874 0.000
2.874 0.000 0.000
1.628 1.628 1.628
1.628 1.628 4.119
1.628 4.119 1.628
1.628 4.119 4.119
4.119 1.628 1.628
4.119 1.628 4.119
4.119 4.119 1.628
4.119 4.119 4.119
0.000 2.874 2.874
2.874 0.000 2.874
2.874 2.874 0.000
2.874 2.874 2.874
```

calculated density = 5.7 g/cm3
SG = Pm-3m
E_tot = -57.2 eV per cell

---

Compound: Mg2CuB
Source: the Open Quantum Materials Database
Functional: PBE-GGA
Structure: optimized geometry

```
Mg2CuB
1.0
0.000 2.981 2.981
2.981 0.000 2.981
2.981 2.981 0.000
Mg Cu B
2 1 1
Cartesian
0.000 0.000 0.000
1.491 1.491 1.491
4.472 4.472 4.472
2.981 2.981 2.981
```

calculated density = 3.9 g/cm3
SG = F-43m
E_tot = -11.3 eV per cell

---

Compound: MgCu2B
Source: the Open Quantum Materials Database
Functional: PBE-GGA
Structure: optimized geometry

```
MgCu2B
1.0
0.000 2.865 2.865
2.865 0.000 2.865
2.865 2.865 0.000
Mg Cu B
1 2 1
Cartesian
0.000 0.000 0.000
1.432 1.432 1.432
2.865 2.865 2.865
4.297 4.297 4.297
```

calculated density = 5.7 g/cm3
SG = F-43m
E_tot = -14.0 eV per cell

---

Compound: MgCuB
Source: the Open Quantum Materials Database
Functional: PBE-GGA
Structure: optimized geometry

```
MgCuB
1.0
0.000 2.684 2.684
2.684 0.000 2.684
2.684 2.684 0.000
Mg Cu B
1 1 1
Cartesian
0.000 0.000 0.000
2.684 2.684 2.684
4.026 4.026 4.026
```

energy relative to the lowest polymorph listed for this composition = 0 kJ/mol of formula units
calculated density = 4.2 g/cm3
SG = F-43m
E_tot = -10.8 eV per cell

---

Compound: MgCuB2
Source: the Open Quantum Materials Database
Functional: PBE-GGA
Structure: optimized geometry

```
MgCuB2
1.0
0.000 2.763 2.763
2.763 0.000 2.763
2.763 2.763 0.000
Mg Cu B
1 1 2
Cartesian
0.000 0.000 0.000
4.144 4.144 4.144
1.381 1.381 1.381
2.763 2.763 2.763
```

calculated density = 4.3 g/cm3
SG = F-43m
E_tot = -14.3 eV per cell

---

Compound: MgCu2B
Source: the Open Quantum Materials Database
Functional: PBE-GGA
Structure: optimized geometry

```
MgCu2B
1.0
5.752 0.000 0.000
0.000 5.752 0.000
0.000 0.000 5.752
Mg Cu B
4 8 4
Cartesian
0.000 0.000 0.000
0.000 0.000 2.876
0.000 2.876 0.000
2.876 0.000 0.000
1.630 1.630 1.630
1.630 1.630 4.122
1.630 4.122 1.630
1.630 4.122 4.122
4.122 1.630 1.630
4.122 1.630 4.122
4.122 4.122 1.630
4.122 4.122 4.122
0.000 2.876 2.876
2.876 0.000 2.876
2.876 2.876 0.000
2.876 2.876 2.876
```

calculated density = 5.7 g/cm3
SG = Pm-3m
E_tot = -57.2 eV per cell

---

Compound: MgCuNiB
Source: the Open Quantum Materials Database
Functional: PBE-GGA
Structure: optimized geometry

```
MgCuNiB
1.0
0.000 2.799 2.799
2.799 0.000 2.799
2.799 2.799 0.000
Mg Cu Ni B
1 1 1 1
Cartesian
0.000 0.000 0.000
4.199 4.199 4.199
1.400 1.400 1.400
2.799 2.799 2.799
```

energy relative to the lowest polymorph listed for this composition = 0 kJ/mol of formula units
calculated density = 6.0 g/cm3
SG = F-43m
E_tot = -16.4 eV per cell

---

Compound: MgCuNiB
Source: the Open Quantum Materials Database
Functional: PBE-GGA
Structure: optimized geometry

```
MgCuNiB
1.0
0.000 2.835 2.835
2.835 0.000 2.835
2.835 2.835 0.000
Mg Cu Ni B
1 1 1 1
Cartesian
0.000 0.000 0.000
2.835 2.835 2.835
4.252 4.252 4.252
1.417 1.417 1.417
```

energy relative to the lowest polymorph listed for this composition = 40 kJ/mol of formula units
calculated density = 5.7 g/cm3
SG = F-43m
E_tot = -15.9 eV per cell

---

Compound: MgCuBPd
Source: the Open Quantum Materials Database
Functional: PBE-GGA
Structure: optimized geometry

```
MgCuBPd
1.0
0.000 2.910 2.910
2.910 0.000 2.910
2.910 2.910 0.000
Mg Cu B Pd
1 1 1 1
Cartesian
0.000 0.000 0.000
4.365 4.365 4.365
2.910 2.910 2.910
1.455 1.455 1.455
```

energy relative to the lowest polymorph listed for this composition = 0 kJ/mol of formula units
calculated density = 6.9 g/cm3
SG = F-43m
E_tot = -16.3 eV per cell

---

Compound: MgCuBPt
Source: the Open Quantum Materials Database
Functional: PBE-GGA
Structure: optimized geometry

```
MgCuBPt
1.0
0.000 2.921 2.921
2.921 0.000 2.921
2.921 2.921 0.000
Mg Cu B Pt
1 1 1 1
Cartesian
0.000 0.000 0.000
4.382 4.382 4.382
2.921 2.921 2.921
1.461 1.461 1.461
```

energy relative to the lowest polymorph listed for this composition = 0 kJ/mol of formula units
calculated density = 9.8 g/cm3
SG = F-43m
E_tot = -17.2 eV per cell

---

Compound: MgCuTcB
Source: the Open Quantum Materials Database
Functional: PBE-GGA
Structure: optimized geometry

```
MgCuTcB
1.0
0.000 2.875 2.875
2.875 0.000 2.875
2.875 2.875 0.000
Mg Cu Tc B
1 1 1 1
Cartesian
0.000 0.000 0.000
4.313 4.313 4.313
1.438 1.438 1.438
2.875 2.875 2.875
```

energy relative to the lowest polymorph listed for this composition = 0 kJ/mol of formula units
calculated density = 6.9 g/cm3
SG = F-43m
E_tot = -20.1 eV per cell

---

Compound: MgCuBW
Source: the Open Quantum Materials Database
Functional: PBE-GGA
Structure: optimized geometry

```
MgCuBW
1.0
0.000 2.991 2.991
2.991 0.000 2.991
2.991 2.991 0.000
Mg Cu B W
1 1 1 1
Cartesian
0.000 0.000 0.000
2.991 2.991 2.991
1.496 1.496 1.496
4.487 4.487 4.487
```

energy relative to the lowest polymorph listed for this composition = 142 kJ/mol of formula units
calculated density = 8.8 g/cm3
SG = F-43m
E_tot = -19.6 eV per cell